DFT (PBE+U) results for a relaxed FeTcF3 crystal.

Geometry as extended XYZ:
```
5
Lattice="4.123 0.000 0.000 0.000 4.123 0.000 0.000 0.000 4.123" Properties=species:S:1:pos:R:3 pbc="T T T"
Fe 0.000 0.000 0.000
Tc 2.062 2.062 2.062
F 0.000 0.000 2.062
F 0.000 2.062 0.000
F 2.062 0.000 0.000
```

symmetry: Pm-3m
total energy: -5.153 eV per atom
spin magnetization: 8.484 μB/f.u.